A plane-wave DFT calculation with GGA+U was carried out for AcVRhO6 after structural relaxation.

a b c (Å): 5.2217 5.2217 5.3064
angles (deg): 90.00 90.00 120.00
Space group P312 (No. 149)
One atom of each set of equivalent atoms:
Ac: 0.0000 0.0000 0.0000 x1
V: 0.3333 0.6667 0.5000 x1
Rh: 0.6667 0.3333 0.5000 x1
O: 0.0142 0.3861 0.7033 x6

Computed properties:
Volume in Å³ per atom: 13.92
Energy in eV/atom: -7.34

A plane-wave DFT calculation with GGA+U was carried out for AcRh2WO8 after structural relaxation.

a b c (Å): 7.128 7.128 6.721
angles (deg): 90.00 90.00 90.00
Space group I-4m2 (No. 119)
One atom of each set of equivalent atoms:
Ac: 0.000 0.000 0.000 x2
Rh: 0.000 0.000 0.500 x2
Rh: 0.000 0.500 0.250 x2
W: 0.000 0.500 0.750 x2
O: 0.000 0.216 0.689 x8
O: 0.000 0.343 0.017 x8

Computed properties:
Volume in Å³ per atom: 14.23
Energy in eV/atom: -6.77